{
  "formula": "FeF",
  "functional": "PBE with a Hubbard U",
  "state": "relaxed",
  "lattice": [[3.0526, 0.0000, -0.3597], [0.0000, 2.9453, 0.0000], [-0.8176, 0.0000, 6.0356]],
  "species": ["Fe", "Fe", "F", "F"],
  "fractional_positions": [[0.9641, 0.0000, 0.6003], [0.6479, 0.5000, 0.9745], [0.8355, 0.5000, 0.3504], [0.1963, 0.0000, 0.0717]],
  "mass_density_g_cm3": 4.65,
  "final_energy_ev_per_fu": -10.0,
  "polymorph_energy_mev_per_atom": 90
}